1.
! ScAsWSe2 (PBE, relaxed); values from VASP
&SYSTEM
  ibrav = 0, nat = 5, ntyp = 4
/
ATOMIC_SPECIES
Sc 44.96 Sc.upf
As 74.92 As.upf
W 183.84 W.upf
Se 78.96 Se.upf
CELL_PARAMETERS angstrom
5.014 0.000 0.000
0.000 5.014 0.000
0.000 0.000 5.078
ATOMIC_POSITIONS angstrom
Sc 0.000 0.000 0.000
As 0.000 0.000 2.539
W 2.507 2.507 2.539
Se 0.000 2.507 0.000
Se 2.507 0.000 0.000
! density	6.0	g/cm³
! relative energy among the computed polymorphs	637	meV/atom
! crystal system	tetragonal

---

2.
! ScAs2WSe (PBE, relaxed); values from VASP
&SYSTEM
  ibrav = 0, nat = 5, ntyp = 4
/
ATOMIC_SPECIES
Sc 44.96 Sc.upf
As 74.92 As.upf
W 183.84 W.upf
Se 78.96 Se.upf
CELL_PARAMETERS angstrom
4.835 0.000 0.000
0.000 4.835 0.000
0.000 0.000 5.091
ATOMIC_POSITIONS angstrom
Sc 0.000 0.000 0.000
As 0.000 2.418 2.546
As 2.418 0.000 2.546
W 2.418 2.418 2.546
Se 2.418 2.418 0.000
! density	6.4	g/cm³
! relative energy among the computed polymorphs	0	meV/atom
! crystal system	tetragonal

---

3.
! ScAsWSe2 (PBE, relaxed); values from VASP
&SYSTEM
  ibrav = 0, nat = 5, ntyp = 4
/
ATOMIC_SPECIES
Sc 44.96 Sc.upf
As 74.92 As.upf
W 183.84 W.upf
Se 78.96 Se.upf
CELL_PARAMETERS angstrom
4.921 0.000 0.000
0.000 4.921 0.000
0.000 0.000 4.935
ATOMIC_POSITIONS angstrom
Sc 0.000 0.000 0.000
As 2.461 2.461 0.000
W 2.461 2.461 2.467
Se 0.000 2.461 2.467
Se 2.461 0.000 2.467
! density	6.4	g/cm³
! relative energy among the computed polymorphs	0	meV/atom
! crystal system	tetragonal

---

4.
! YScAsSe2 (PBE, relaxed); values from VASP
&SYSTEM
  ibrav = 0, nat = 5, ntyp = 4
/
ATOMIC_SPECIES
Y 88.91 Y.upf
Sc 44.96 Sc.upf
As 74.92 As.upf
Se 78.96 Se.upf
CELL_PARAMETERS angstrom
5.066 0.000 0.000
0.000 5.066 0.000
0.000 0.000 5.100
ATOMIC_POSITIONS angstrom
Y 0.000 0.000 0.000
Sc 2.533 2.533 2.550
As 2.533 2.533 0.000
Se 0.000 2.533 2.550
Se 2.533 0.000 2.550
! density	4.7	g/cm³
! relative energy among the computed polymorphs	0	meV/atom
! crystal system	tetragonal

---

5.
! YScAsSe (PBE, relaxed); values from VASP
&SYSTEM
  ibrav = 0, nat = 4, ntyp = 4
/
ATOMIC_SPECIES
Y 88.91 Y.upf
Sc 44.96 Sc.upf
As 74.92 As.upf
Se 78.96 Se.upf
CELL_PARAMETERS angstrom
1.963 1.134 6.849
-1.963 1.134 6.849
0.000 -2.267 6.849
ATOMIC_POSITIONS angstrom
Y 0.000 0.000 0.000
Sc 0.000 0.000 3.695
As 0.000 0.000 11.966
Se 0.000 0.000 15.648
! density	5.2	g/cm³
! crystal system	trigonal

---

6.
! YScAsSe2 (PBE, relaxed); values from VASP
&SYSTEM
  ibrav = 0, nat = 5, ntyp = 4
/
ATOMIC_SPECIES
Y 88.91 Y.upf
Sc 44.96 Sc.upf
As 74.92 As.upf
Se 78.96 Se.upf
CELL_PARAMETERS angstrom
5.328 0.000 0.000
0.000 5.328 0.000
0.000 0.000 5.379
ATOMIC_POSITIONS angstrom
Y 0.000 0.000 0.000
Sc 2.664 2.664 2.690
As 0.000 0.000 2.690
Se 0.000 2.664 0.000
Se 2.664 0.000 0.000
! density	4.0	g/cm³
! relative energy among the computed polymorphs	477	meV/atom
! crystal system	tetragonal

---

7.
! YScAsSe2 (PBE, relaxed); values from VASP
&SYSTEM
  ibrav = 0, nat = 5, ntyp = 4
/
ATOMIC_SPECIES
Y 88.91 Y.upf
Sc 44.96 Sc.upf
As 74.92 As.upf
Se 78.96 Se.upf
CELL_PARAMETERS angstrom
5.263 0.000 0.000
0.000 5.263 0.000
0.000 0.000 5.225
ATOMIC_POSITIONS angstrom
Y 0.000 0.000 0.000
Sc 2.632 2.632 0.000
As 0.000 0.000 2.613
Se 0.000 2.632 2.613
Se 2.632 0.000 2.613
! density	4.2	g/cm³
! relative energy among the computed polymorphs	861	meV/atom
! crystal system	tetragonal

---

8.
! ScZnAsSe2 (PBE, relaxed); values from VASP
&SYSTEM
  ibrav = 0, nat = 5, ntyp = 4
/
ATOMIC_SPECIES
Sc 44.96 Sc.upf
Zn 65.41 Zn.upf
As 74.92 As.upf
Se 78.96 Se.upf
CELL_PARAMETERS angstrom
5.107 0.000 0.000
0.000 5.107 0.000
0.000 0.000 5.240
ATOMIC_POSITIONS angstrom
Sc 0.000 0.000 0.000
Zn 2.553 2.553 2.620
As 0.000 0.000 2.620
Se 0.000 2.553 0.000
Se 2.553 0.000 0.000
! density	4.2	g/cm³
! relative energy among the computed polymorphs	0	meV/atom
! crystal system	tetragonal

---

Listing energy relative to the elements, uncorrected for the structures above in their given order: 4.0; 1.2; 0.8; -4.2; -6.3; -1.8; 0.1; -0.2 eV/f.u..
Listing uncorrected energy for the structures above in their given order: -0.3954; -0.4532; -0.4423; -0.4202; -0.4999; -0.3852; -0.3570; -0.2857 Ry/atom.